Entry 1:
## CaB4Os4 (PBE)

Data for a relaxed CaB4Os4 crystal.

formation energy from the elements	-2.450	eV/f.u.

The structure in CIF format:
```
data_CaB4Os4
_chemical_formula_sum 'Ca2 B8 Os8'
_cell_length_a 4.038
_cell_length_b 7.554
_cell_length_c 7.554
_cell_angle_alpha 90.00
_cell_angle_beta 90.00
_cell_angle_gamma 90.00
_space_group_name_H-M_alt 'P 1'
_space_group_IT_number 1
_space_group_name_Hall 'P 1'
loop_
_atom_site_label
_atom_site_type_symbol
_atom_site_fract_x
_atom_site_fract_y
_atom_site_fract_z
Ca1 Ca 0.000 0.000 0.000
Ca2 Ca 0.500 0.500 0.500
B1 B 0.614 0.835 0.285
B2 B 0.614 0.165 0.715
B3 B 0.114 0.785 0.665
B4 B 0.886 0.335 0.785
B5 B 0.886 0.665 0.215
B6 B 0.386 0.285 0.165
B7 B 0.386 0.715 0.835
B8 B 0.114 0.215 0.335
Os1 Os 0.383 0.355 0.890
Os2 Os 0.883 0.610 0.855
Os3 Os 0.383 0.645 0.110
Os4 Os 0.117 0.145 0.610
Os5 Os 0.617 0.890 0.645
Os6 Os 0.117 0.855 0.390
Os7 Os 0.883 0.390 0.145
Os8 Os 0.617 0.110 0.355
```

Entry 2:
## POsRu2 (PBE)

Data for a relaxed POsRu2 crystal.

formation energy from the elements	0.963	eV/f.u.

The structure in CIF format:
```
data_POsRu2
_chemical_formula_sum 'P1 Os1 Ru2'
_cell_length_a 4.555
_cell_length_b 4.555
_cell_length_c 2.757
_cell_angle_alpha 90.00
_cell_angle_beta 90.00
_cell_angle_gamma 106.71
_space_group_name_H-M_alt 'P 1'
_space_group_IT_number 1
_space_group_name_Hall 'P 1'
loop_
_atom_site_label
_atom_site_type_symbol
_atom_site_fract_x
_atom_site_fract_y
_atom_site_fract_z
P1 P 0.000 0.000 0.500
Os1 Os 0.500 0.500 0.500
Ru1 Ru 0.000 0.500 0.000
Ru2 Ru 0.500 0.000 0.000
```

Entry 3:
## BaMnPb (PBE)

Data for a relaxed BaMnPb crystal.

formation energy from the elements	2.220	eV/f.u.

The structure in CIF format:
```
data_BaMnPb
_chemical_formula_sum 'Ba1 Mn1 Pb1'
_cell_length_a 5.516
_cell_length_b 5.516
_cell_length_c 5.516
_cell_angle_alpha 60.00
_cell_angle_beta 60.00
_cell_angle_gamma 60.00
_space_group_name_H-M_alt 'P 1'
_space_group_IT_number 1
_space_group_name_Hall 'P 1'
loop_
_atom_site_label
_atom_site_type_symbol
_atom_site_fract_x
_atom_site_fract_y
_atom_site_fract_z
Ba1 Ba 0.750 0.750 0.750
Mn1 Mn 0.000 0.000 0.000
Pb1 Pb 0.500 0.500 0.500
```

Entry 4:
## CeTmTl2S4 (PBE)

Data for a relaxed CeTmTl2S4 crystal.

formation energy from raw total energies	-1.43	eV/atom

The structure in CIF format:
```
data_CeTmTl2S4
_chemical_formula_sum 'Ce1 Tm1 Tl2 S4'
_cell_length_a 4.085
_cell_length_b 7.086
_cell_length_c 7.865
_cell_angle_alpha 107.21
_cell_angle_beta 90.00
_cell_angle_gamma 90.00
_space_group_name_H-M_alt 'P 1'
_space_group_IT_number 1
_space_group_name_Hall 'P 1'
loop_
_atom_site_label
_atom_site_type_symbol
_atom_site_fract_x
_atom_site_fract_y
_atom_site_fract_z
Ce1 Ce 0.500 0.500 0.000
Tm1 Tm 0.000 0.000 0.000
Tl1 Tl 0.500 0.000 0.500
Tl2 Tl 0.000 0.500 0.500
S1 S 0.500 0.221 0.195
S2 S 0.500 0.779 0.805
S3 S 0.000 0.256 0.800
S4 S 0.000 0.744 0.200
```

Entry 5:
## Ca4Cd2Rh (PBE)

Data for a relaxed Ca4Cd2Rh crystal.

formation energy from the elements	-1.413	eV/f.u.

The structure in CIF format:
```
data_Ca4Cd2Rh
_chemical_formula_sum 'Ca4 Cd2 Rh1'
_cell_length_a 5.364
_cell_length_b 5.364
_cell_length_c 8.961
_cell_angle_alpha 107.42
_cell_angle_beta 107.42
_cell_angle_gamma 90.00
_space_group_name_H-M_alt 'P 1'
_space_group_IT_number 1
_space_group_name_Hall 'P 1'
loop_
_atom_site_label
_atom_site_type_symbol
_atom_site_fract_x
_atom_site_fract_y
_atom_site_fract_z
Ca1 Ca 0.827 0.827 0.654
Ca2 Ca 0.173 0.173 0.346
Ca3 Ca 0.000 0.500 0.000
Ca4 Ca 0.500 0.000 0.000
Rh1 Rh 0.000 0.000 0.000
Cd1 Cd 0.627 0.627 0.254
Cd2 Cd 0.373 0.373 0.746
```

Entry 6:
## TcHg2P (PBE)

Data for a relaxed TcHg2P crystal.

formation energy from the elements	2.779	eV/f.u.

The structure in CIF format:
```
data_TcHg2P
_chemical_formula_sum 'Tc2 Hg4 P2'
_cell_length_a 8.919
_cell_length_b 8.919
_cell_length_c 6.708
_cell_angle_alpha 48.33
_cell_angle_beta 48.33
_cell_angle_gamma 90.00
_space_group_name_H-M_alt 'P 1'
_space_group_IT_number 1
_space_group_name_Hall 'P 1'
loop_
_atom_site_label
_atom_site_type_symbol
_atom_site_fract_x
_atom_site_fract_y
_atom_site_fract_z
P1 P 0.500 0.500 0.000
P2 P 0.250 0.750 0.500
Hg1 Hg 0.526 0.125 0.250
Hg2 Hg 0.224 0.625 0.250
Hg3 Hg 0.375 0.474 0.750
Hg4 Hg 0.875 0.776 0.750
Tc1 Tc 0.000 0.000 0.000
Tc2 Tc 0.750 0.250 0.500
```